1.
Entry from the Alexandria database: a relaxed Al2MoP crystal (PBE-GGA).

Summary:
Crystal system   tetragonal
ΔE_f   -0.02 eV per atom
D(E_F)   0.495 states/eV/atom
Final energy   -5.947 eV per atom

Unit cell a=4.213 b=4.213 c=3.313 alpha=90.00 beta=90.00 gamma=90.00
Atoms (fractional coordinates):
Al  0.000  0.500  0.000
Al  0.500  0.000  0.000
Mo  0.000  0.000  0.500
P  0.500  0.500  0.500

***

2.
Entry from the Alexandria database: a relaxed AlMo2P crystal (PBE-GGA).

Summary:
Crystal system   tetragonal
ΔE_f   -0.20 eV per atom
D(E_F)   1.040 states/eV/atom
Final energy   -7.903 eV per atom

Unit cell a=2.984 b=2.984 c=6.640 alpha=90.00 beta=90.00 gamma=90.00
Atoms (fractional coordinates):
Al  0.000  0.000  0.000
Mo  0.500  0.500  0.290
Mo  0.500  0.500  0.710
P  0.000  0.000  0.500

***

3.
Entry from the Alexandria database: a relaxed Al3MoP crystal (PBE-GGA).

Summary:
Crystal system   cubic
ΔE_f   0.91 eV per atom
D(E_F)   0.742 states/eV/atom
Final energy   -4.581 eV per atom

Unit cell a=4.520 b=4.520 c=4.520 alpha=90.00 beta=90.00 gamma=90.00
Atoms (fractional coordinates):
Al  0.000  0.000  0.500
Al  0.000  0.500  0.000
Al  0.500  0.000  0.000
Mo  0.500  0.500  0.500
P  0.000  0.000  0.000

***

4.
Entry from the Alexandria database: a relaxed AlMo2P crystal (PBE-GGA).

Summary:
Crystal system   cubic
ΔE_f   0.01 eV per atom
D(E_F)   1.438 states/eV/atom
Final energy   -7.692 eV per atom

Unit cell a=4.330 b=4.330 c=4.330 alpha=60.00 beta=60.00 gamma=60.00
Atoms (fractional coordinates):
Al  0.000  0.000  0.000
Mo  0.250  0.250  0.250
Mo  0.750  0.750  0.750
P  0.500  0.500  0.500

***

5.
Entry from the Alexandria database: a relaxed AlMoP2 crystal (PBE-GGA).

Summary:
Crystal system   trigonal
ΔE_f   0.01 eV per atom
D(E_F)   0.880 states/eV/atom
Final energy   -6.335 eV per atom

Unit cell a=7.476 b=7.476 c=7.476 alpha=23.81 beta=23.81 gamma=23.81
Atoms (fractional coordinates):
Al  0.000  0.000  0.000
Mo  0.762  0.762  0.762
P  0.247  0.247  0.247
P  0.506  0.506  0.506

***

6.
Entry from the Alexandria database: a relaxed Al4MoP crystal (PBE-GGA).

Summary:
Crystal system   cubic
ΔE_f   0.16 eV per atom
D(E_F)   0.362 states/eV/atom
Final energy   -5.038 eV per atom

Unit cell a=5.091 b=5.091 c=5.091 alpha=60.00 beta=60.00 gamma=60.00
Atoms (fractional coordinates):
Al  0.124  0.124  0.124
Al  0.124  0.124  0.628
Al  0.124  0.628  0.124
Al  0.628  0.124  0.124
Mo  0.750  0.750  0.750
P  0.500  0.500  0.500

***

7.
Entry from the Alexandria database: a relaxed Al2MoP crystal (PBE-GGA).

Summary:
Crystal system   trigonal
ΔE_f   -0.14 eV per atom
D(E_F)   0.492 states/eV/atom
Final energy   -6.075 eV per atom

Unit cell a=8.014 b=8.014 c=8.014 alpha=22.05 beta=22.05 gamma=22.05
Atoms (fractional coordinates):
Al  0.000  0.000  0.000
Al  0.240  0.240  0.240
Mo  0.484  0.484  0.484
P  0.746  0.746  0.746

***

8.
Entry from the Alexandria database: a relaxed Al2Mo2P crystal (PBE-GGA).

Summary:
Crystal system   tetragonal
ΔE_f   -0.19 eV per atom
D(E_F)   0.655 states/eV/atom
Final energy   -7.097 eV per atom

Unit cell a=6.417 b=6.417 c=3.831 alpha=90.00 beta=90.00 gamma=90.00
Atoms (fractional coordinates):
Al  0.142  0.358  0.000
Al  0.358  0.858  0.000
Al  0.642  0.142  0.000
Al  0.858  0.642  0.000
Mo  0.165  0.665  0.500
Mo  0.335  0.165  0.500
Mo  0.665  0.835  0.500
Mo  0.835  0.335  0.500
P  0.000  0.000  0.500
P  0.500  0.500  0.500